<P>
This record from Alexandria via LeMat-Bulk describes an optimized crystal structure of TlTcTe2. The functional is GGA-PBEsol.

Lattice parameters (Å, degrees): 5.2177 5.2177 3.3680 90.00 90.00 90.00
Last column: nearest neighbours and their distance in Å.
Fractional positions:
Tl: 0.0000 0.0000 0.0000  8 Te 3.11, 2 Tl 3.37
Tc: 0.5000 0.5000 0.0000  8 Te 3.11, 2 Tc 3.37
Te: 0.0000 0.5000 0.5000  4 Tl 3.11, 4 Tc 3.11, 2 Te 3.37
Te: 0.5000 0.0000 0.5000  4 Tl 3.11, 4 Tc 3.11, 2 Te 3.37

Output
As for the density of states at the Fermi level: 4.351 states/eV/cell. The total magnetization is 1.80 μB per cell. Its crystal system is tetragonal.

<Q>
This record from Alexandria via LeMat-Bulk describes an optimized crystal structure of TlTcTe2. The functional is GGA-PBEsol.

Lattice parameters (Å, degrees): 5.0088 5.0088 5.0088 60.00 60.00 60.00
Last column: nearest neighbours and their distance in Å.
Fractional positions:
Tl: 0.0000 0.0000 0.0000  4 Te 3.07, 4 Tc 3.07
Tc: 0.2500 0.2500 0.2500  4 Tl 3.07, 4 Te 3.07
Te: 0.5000 0.5000 0.5000  4 Tc 3.07, 4 Te 3.07
Te: 0.7500 0.7500 0.7500  4 Tl 3.07, 4 Te 3.07

Output
As for the density of states at the Fermi level: 4.044 states/eV/cell. The total magnetization is 0.00 μB per cell. Its crystal system is cubic.

Stability ranking, top and bottom: <P> is the most stable and <Q> is the least stable.

<P>
This record from Alexandria via LeMat-Bulk describes an optimized crystal structure of TcTeW2. The functional is GGA-PBEsol.

Lattice parameters (Å, degrees): 3.1624 4.4804 4.5971 90.00 90.00 90.00
Last column: nearest neighbours and their distance in Å.
Fractional positions:
Tc: 0.0000 0.0000 0.0000  4 Te 2.74, 4 W 2.79
Te: 0.5000 0.5000 0.0000  4 Tc 2.74, 4 W 2.79
W: 0.0000 0.5000 0.5000  4 W 2.74, 4 Te 2.79
W: 0.5000 0.0000 0.5000  4 W 2.74, 4 Tc 2.79

Output
As for the density of states at the Fermi level: 2.861 states/eV/cell. The total magnetization is 0.00 μB per cell. Its crystal system is orthorhombic.

<Q>
This record from Alexandria via LeMat-Bulk describes an optimized crystal structure of TcTeW2. The functional is GGA-PBEsol.

Lattice parameters (Å, degrees): 3.0337 4.1368 5.3148 90.00 90.00 90.00
Last column: nearest neighbours and their distance in Å.
Fractional positions:
Tc: 0.0000 0.0000 0.0000  1 W 2.46
Te: 0.5000 0.5000 0.2533  2 W 2.64-2.68, 4 Tc 2.90
W: 0.0000 0.0000 0.5364  1 Tc 2.46
W: 0.5000 0.5000 0.7570  2 Te 2.64-2.68, 4 W 2.82, 4 Tc 2.87

Output
As for the density of states at the Fermi level: 3.248 states/eV/cell. The total magnetization is 0.00 μB per cell. Its crystal system is orthorhombic.

<R>
This record from Alexandria via LeMat-Bulk describes an optimized crystal structure of TcTeW2. The functional is GGA-PBEsol.

Lattice parameters (Å, degrees): 2.8513 2.8513 9.1427 90.00 90.00 111.84
Last column: nearest neighbours and their distance in Å.
Fractional positions:
Tc: 0.0000 0.0000 0.0000  2 W 2.57, 4 Tc 2.85
Te: 0.5000 0.5000 0.7292  4 Te 2.85, 2 Tc 2.95, 2 W 3.00
W: 0.0000 0.0000 0.4518  6 W 2.65-2.85
W: 0.5000 0.5000 0.2207  2 Tc 2.57, 6 W 2.65-2.85

Output
As for the density of states at the Fermi level: 3.382 states/eV/cell. The total magnetization is 0.00 μB per cell. Its crystal system is orthorhombic.

Stability ranking, top and bottom: <P> is the most stable and <R> is the least stable.

<P>
This record from Alexandria via LeMat-Bulk describes an optimized crystal structure of ZrTcTe2. The functional is GGA-PBEsol.

Lattice parameters (Å, degrees): 4.4022 4.4022 6.1487 101.55 101.55 45.49
Last column: nearest neighbours and their distance in Å.
Fractional positions:
Zr: 0.0000 0.0000 0.0000  6 Te 2.89-2.92
Tc: 0.5000 0.5000 0.5000  6 Te 2.72-2.75
Te: 0.2452 0.2452 0.7228  3 Tc 2.72-2.75, 3 Zr 2.89-2.92
Te: 0.7548 0.7548 0.2772  3 Tc 2.72-2.75, 3 Zr 2.89-2.92

Output
As for the density of states at the Fermi level: 2.879 states/eV/cell. The total magnetization is 0.00 μB per cell. Its crystal system is monoclinic.

<Q>
This record from Alexandria via LeMat-Bulk describes an optimized crystal structure of ZrTcTe2. The functional is GGA-PBEsol.

Lattice parameters (Å, degrees): 3.2517 3.2517 8.4838 90.00 90.00 90.00
Last column: nearest neighbours and their distance in Å.
Fractional positions:
Zr: 0.0000 0.0000 0.0000  4 Tc 2.91, 5 Te 3.06-3.24, 4 Zr 3.25
Tc: 0.5000 0.5000 0.2112  4 Te 2.72, 4 Zr 2.91
Te: 0.0000 0.0000 0.3817  4 Tc 2.72
Te: 0.5000 0.5000 0.7618  4 Zr 3.06, 4 Te 3.25

Output
As for the density of states at the Fermi level: 2.883 states/eV/cell. The total magnetization is 0.00 μB per cell. Its crystal system is tetragonal.

Stability ranking, top and bottom: <Q> is the most stable and <P> is the least stable.

<P>
This record from Alexandria via LeMat-Bulk describes an optimized crystal structure of Zr3TcTe. The functional is GGA-PBEsol.

Lattice parameters (Å, degrees): 4.9378 4.9378 4.9378 90.00 90.00 90.00
Last column: nearest neighbours and their distance in Å.
Fractional positions:
Zr: 0.0000 0.0000 0.5000  2 Tc 2.47
Zr: 0.0000 0.5000 0.0000  2 Tc 2.47
Zr: 0.5000 0.0000 0.0000  2 Tc 2.47
Tc: 0.0000 0.0000 0.0000  6 Zr 2.47
Te: 0.5000 0.5000 0.5000  12 Zr 3.49

Output
As for the density of states at the Fermi level: 5.705 states/eV/cell. The total magnetization is 0.00 μB per cell. Its crystal system is cubic.

<Q>
This record from Alexandria via LeMat-Bulk describes an optimized crystal structure of Zr3TcTe. The functional is GGA-PBEsol.

Lattice parameters (Å, degrees): 5.1202 5.1202 5.1202 90.00 90.00 90.00
Last column: nearest neighbours and their distance in Å.
Fractional positions:
Zr: 0.0000 0.0000 0.5000  2 Te 2.56
Zr: 0.0000 0.5000 0.0000  2 Te 2.56
Zr: 0.5000 0.0000 0.0000  2 Te 2.56
Tc: 0.5000 0.5000 0.5000  12 Zr 3.62
Te: 0.0000 0.0000 0.0000  6 Zr 2.56

Output
As for the density of states at the Fermi level: 4.435 states/eV/cell. The total magnetization is 2.04 μB per cell. Its crystal system is cubic.

Stability ranking, top and bottom: <P> is the most stable and <Q> is the least stable.

<P>
This record from Alexandria via LeMat-Bulk describes an optimized crystal structure of TlTc2W. The functional is GGA-PBEsol.

Lattice parameters (Å, degrees): 2.8489 2.8489 8.0152 90.00 90.00 90.00
Last column: nearest neighbours and their distance in Å.
Fractional positions:
Tl: 0.0000 0.0000 0.0000  4 Tl 2.85, 4 Tc 2.97, 4 W 3.06
Tc: 0.0000 0.0000 0.5217  8 Tc 2.60-2.85, 4 W 2.75
Tc: 0.5000 0.5000 0.7269  8 Tc 2.60-2.85
W: 0.5000 0.5000 0.2878  4 Tc 2.75, 4 W 2.85, 4 Tl 3.06

Output
As for the density of states at the Fermi level: 2.095 states/eV/cell. The total magnetization is 0.00 μB per cell. Its crystal system is tetragonal.

<Q>
This record from Alexandria via LeMat-Bulk describes an optimized crystal structure of TlTc2W. The functional is GGA-PBEsol.

Lattice parameters (Å, degrees): 2.8675 4.0266 5.6462 90.00 90.26 90.00
Last column: nearest neighbours and their distance in Å.
Fractional positions:
Tl: 0.0000 0.0000 0.0000  6 Tc 2.79-2.94, 2 Tl 2.87, 4 W 2.97-2.99
Tc: 0.5013 0.5000 0.7199  1 W 2.39
Tc: 0.9811 0.0000 0.5058  4 W 2.70-2.79, 6 Tc 2.72-2.87, 2 Tl 2.79-2.86
W: 0.5094 0.5000 0.2959  1 Tc 2.39

Output
As for the density of states at the Fermi level: 2.805 states/eV/cell. The total magnetization is 0.00 μB per cell. Its crystal system is monoclinic.

Stability ranking, top and bottom: <P> is the most stable and <Q> is the least stable.

<P>
This record from Alexandria via LeMat-Bulk describes an optimized crystal structure of TlZnTc2. The functional is GGA-PBEsol.

Lattice parameters (Å, degrees): 2.8182 2.8182 9.3580 90.00 90.00 116.03
Last column: nearest neighbours and their distance in Å.
Fractional positions:
Tl: 0.0000 0.0000 0.0000  6 Tl 2.82-2.99, 2 Tc 2.97, 2 Zn 3.03
Zn: 0.5000 0.5000 0.7179  2 Tc 2.61, 4 Zn 2.82
Tc: 0.0000 0.0000 0.4886  2 Tc 2.50, 2 Zn 2.61
Tc: 0.5000 0.5000 0.2740  2 Tc 2.50

Output
As for the density of states at the Fermi level: 3.264 states/eV/cell. The total magnetization is 0.00 μB per cell. Its crystal system is orthorhombic.

<Q>
This record from Alexandria via LeMat-Bulk describes an optimized crystal structure of TlZnTc2. The functional is GGA-PBEsol.

Lattice parameters (Å, degrees): 3.8456 3.8456 4.2452 90.00 90.00 90.00
Last column: nearest neighbours and their distance in Å.
Fractional positions:
Tl: 0.0000 0.0000 0.0000  4 Zn 2.72, 8 Tc 2.86
Zn: 0.5000 0.5000 0.0000  4 Tl 2.72, 8 Tc 2.86
Tc: 0.0000 0.5000 0.5000  4 Tc 2.72, 4 Tl 2.86, 4 Zn 2.86
Tc: 0.5000 0.0000 0.5000  4 Tc 2.72, 4 Tl 2.86, 4 Zn 2.86

Output
As for the density of states at the Fermi level: 5.618 states/eV/cell. The total magnetization is 0.01 μB per cell. Its crystal system is tetragonal.

Stability ranking, top and bottom: <P> is the most stable and <Q> is the least stable.